Entry from the Alexandria database: Rb2BaFeF6 after structural relaxation (PBE with a Hubbard U).

a b c (Å): 6.519 6.572 11.101
angles (deg): 90.00 124.96 90.00
Space group P2_1/c (No. 14)
One atom of each set of equivalent atoms:
Rb 0.236 0.035 0.248 x4
Ba 0.500 0.000 0.000 x2
Fe 0.000 0.000 0.500 x2
F 0.146 0.236 0.956 x4
F 0.223 0.693 0.962 x4
F 0.297 0.020 0.720 x4

Raw total energy ... -100.73 eV for the cell shown
Density of states at the Fermi level ... 0.00 states/eV/f.u.